{
  "formula": "Cs3CoTc",
  "functional": "PBE-GGA",
  "state": "optimized geometry",
  "formation_energy_ev_per_atom": 1.66,
  "volume_a3_per_cell": 206.3,
  "magmom_total_mub_per_cell": 2.0,
  "space_group": "No. 221",
  "lattice": [[5.909, 0.000, 0.000], [0.000, 5.909, 0.000], [0.000, 0.000, 5.909]],
  "species": ["Cs", "Cs", "Cs", "Co", "Tc"],
  "fractional_positions": [[0.000, 0.000, 0.500], [0.000, 0.500, 0.000], [0.500, 0.000, 0.000], [0.500, 0.500, 0.500], [0.000, 0.000, 0.000]]
}

{
  "formula": "CsCoTc3",
  "functional": "PBE-GGA",
  "state": "optimized geometry",
  "formation_energy_ev_per_atom": 1.87,
  "volume_a3_per_cell": 103.0,
  "magmom_total_mub_per_cell": 4.8,
  "space_group": "No. 221",
  "lattice": [[4.688, 0.000, 0.000], [0.000, 4.688, 0.000], [0.000, 0.000, 4.688]],
  "species": ["Cs", "Co", "Tc", "Tc", "Tc"],
  "fractional_positions": [[0.000, 0.000, 0.000], [0.500, 0.500, 0.500], [0.000, 0.500, 0.500], [0.500, 0.000, 0.500], [0.500, 0.500, 0.000]]
}

{
  "formula": "Cs3CoTe",
  "functional": "PBE-GGA",
  "state": "optimized geometry",
  "volume_a3_per_cell": 394.6,
  "magmom_total_mub_per_cell": 2.0,
  "space_group": "No. 221",
  "formation_energy_uncorrected_mev_per_atom": 133,
  "lattice": [[7.335, 0.000, 0.000], [0.000, 7.335, 0.000], [0.000, 0.000, 7.335]],
  "species": ["Cs", "Cs", "Cs", "Co", "Te"],
  "fractional_positions": [[0.000, 0.000, 0.500], [0.000, 0.500, 0.000], [0.500, 0.000, 0.000], [0.500, 0.500, 0.500], [0.000, 0.000, 0.000]]
}

{
  "formula": "CsCoTe",
  "functional": "PBE-GGA",
  "state": "optimized geometry",
  "volume_a3_per_cell": 223.9,
  "magmom_total_mub_per_cell": 2.3,
  "space_group": "No. 129",
  "formation_energy_uncorrected_mev_per_atom": -260,
  "lattice": [[4.281, 0.000, 0.000], [0.000, 4.281, 0.000], [0.000, 0.000, 12.214]],
  "species": ["Cs", "Cs", "Co", "Co", "Te", "Te"],
  "fractional_positions": [[0.250, 0.250, 0.213], [0.750, 0.750, 0.787], [0.250, 0.750, 0.500], [0.750, 0.250, 0.500], [0.250, 0.250, 0.612], [0.750, 0.750, 0.388]]
}

{
  "formula": "CsCoTe2",
  "functional": "PBE-GGA",
  "state": "optimized geometry",
  "volume_a3_per_cell": 131.9,
  "magmom_total_mub_per_cell": 0.1,
  "space_group": "No. 166",
  "formation_energy_uncorrected_mev_per_atom": -149,
  "lattice": [[1.957, 1.130, 9.939], [-1.957, 1.130, 9.939], [0.000, -2.260, 9.939]],
  "species": ["Cs", "Co", "Te", "Te"],
  "fractional_positions": [[0.000, 0.000, 0.000], [0.500, 0.500, 0.500], [0.124, 0.124, 0.124], [0.876, 0.876, 0.876]]
}

{
  "formula": "CsCoTe2",
  "functional": "PBE-GGA",
  "state": "optimized geometry",
  "volume_a3_per_cell": 283.8,
  "magmom_total_mub_per_cell": 0.0,
  "space_group": "No. 122",
  "formation_energy_uncorrected_mev_per_atom": -348,
  "lattice": [[-4.014, 4.014, 4.404], [4.014, -4.014, 4.404], [4.014, 4.014, -4.404]],
  "species": ["Cs", "Cs", "Co", "Co", "Te", "Te", "Te", "Te"],
  "fractional_positions": [[0.000, 0.000, 0.000], [0.750, 0.250, 0.500], [0.250, 0.750, 0.500], [0.500, 0.500, 0.000], [0.261, 0.625, 0.136], [0.375, 0.511, 0.636], [0.489, 0.125, 0.864], [0.875, 0.739, 0.364]]
}

{
  "formula": "CsCoTe2",
  "functional": "PBE-GGA",
  "state": "optimized geometry",
  "volume_a3_per_cell": 122.7,
  "magmom_total_mub_per_cell": 2.2,
  "space_group": "No. 225",
  "formation_energy_uncorrected_mev_per_atom": 511,
  "lattice": [[0.000, 3.944, 3.944], [3.944, 0.000, 3.944], [3.944, 3.944, 0.000]],
  "species": ["Cs", "Co", "Te", "Te"],
  "fractional_positions": [[0.000, 0.000, 0.000], [0.500, 0.500, 0.500], [0.250, 0.250, 0.250], [0.750, 0.750, 0.750]]
}

{
  "formula": "CsCoTe2",
  "functional": "PBE-GGA",
  "state": "optimized geometry",
  "volume_a3_per_cell": 169.9,
  "magmom_total_mub_per_cell": 1.8,
  "space_group": "No. 166",
  "formation_energy_uncorrected_mev_per_atom": 130,
  "lattice": [[3.360, 1.940, 4.345], [-3.360, 1.940, 4.345], [0.000, -3.880, 4.345]],
  "species": ["Cs", "Co", "Te", "Te"],
  "fractional_positions": [[0.000, 0.000, 0.000], [0.500, 0.500, 0.500], [0.317, 0.317, 0.317], [0.683, 0.683, 0.683]]
}

{
  "formula": "CsCo2Te2",
  "functional": "PBE-GGA",
  "state": "optimized geometry",
  "volume_a3_per_cell": 133.6,
  "magmom_total_mub_per_cell": 2.0,
  "space_group": "No. 139",
  "formation_energy_uncorrected_mev_per_atom": -294,
  "lattice": [[-2.062, 2.062, 7.859], [2.062, -2.062, 7.859], [2.062, 2.062, -7.859]],
  "species": ["Cs", "Co", "Co", "Te", "Te"],
  "fractional_positions": [[0.000, 0.000, 0.000], [0.250, 0.750, 0.500], [0.750, 0.250, 0.500], [0.341, 0.341, 0.000], [0.659, 0.659, 0.000]]
}

{
  "formula": "CsTiCo3",
  "functional": "PBE-GGA",
  "state": "optimized geometry",
  "formation_energy_ev_per_atom": 2.40,
  "volume_a3_per_cell": 96.7,
  "magmom_total_mub_per_cell": 0.0,
  "space_group": "No. 221",
  "lattice": [[4.591, 0.000, 0.000], [0.000, 4.591, 0.000], [0.000, 0.000, 4.591]],
  "species": ["Cs", "Ti", "Co", "Co", "Co"],
  "fractional_positions": [[0.000, 0.000, 0.000], [0.500, 0.500, 0.500], [0.000, 0.000, 0.500], [0.000, 0.500, 0.000], [0.500, 0.000, 0.000]]
}

{
  "formula": "CsTiCo3",
  "functional": "PBE-GGA",
  "state": "optimized geometry",
  "formation_energy_ev_per_atom": 1.32,
  "volume_a3_per_cell": 100.9,
  "magmom_total_mub_per_cell": 1.7,
  "space_group": "No. 221",
  "lattice": [[4.656, 0.000, 0.000], [0.000, 4.656, 0.000], [0.000, 0.000, 4.656]],
  "species": ["Cs", "Ti", "Co", "Co", "Co"],
  "fractional_positions": [[0.000, 0.000, 0.000], [0.500, 0.500, 0.500], [0.000, 0.500, 0.500], [0.500, 0.000, 0.500], [0.500, 0.500, 0.000]]
}

{
  "formula": "CsTi3Co",
  "functional": "PBE-GGA",
  "state": "optimized geometry",
  "formation_energy_ev_per_atom": 0.79,
  "volume_a3_per_cell": 108.5,
  "magmom_total_mub_per_cell": 0.0,
  "space_group": "No. 221",
  "lattice": [[4.769, 0.000, 0.000], [0.000, 4.769, 0.000], [0.000, 0.000, 4.769]],
  "species": ["Cs", "Ti", "Ti", "Ti", "Co"],
  "fractional_positions": [[0.000, 0.000, 0.000], [0.000, 0.500, 0.500], [0.500, 0.000, 0.500], [0.500, 0.500, 0.000], [0.500, 0.500, 0.500]]
}